! PBE-GGA TmPuMgSc, optimized geometry; values from VASP
! Spin magnetization   6.2 μB/f.u.
! Uncorrected energy   -6.54 eV/atom
! Mass density   7.58 g/cm3
! N(E_F)   6.89 states/eV per cell
&SYSTEM
  ibrav = 0, nat = 4, ntyp = 4
/
ATOMIC_SPECIES
Tm 168.93 Tm.upf
Pu 244.00 Pu.upf
Mg 24.30 Mg.upf
Sc 44.96 Sc.upf
CELL_PARAMETERS angstrom
0.000 3.753 3.753
3.753 0.000 3.753
3.753 3.753 0.000
ATOMIC_POSITIONS angstrom
Tm 0.000 0.000 0.000
Pu 3.753 3.753 3.753
Mg 5.629 5.629 5.629
Sc 1.876 1.876 1.876



! PBE-GGA Pu6MgSe8, optimized geometry; values from VASP
! Spin magnetization   33.9 μB/f.u.
! Uncorrected energy   -9.16 eV/atom
! Mass density   8.79 g/cm3
! N(E_F)   59.13 states/eV per cell
&SYSTEM
  ibrav = 0, nat = 15, ntyp = 3
/
ATOMIC_SPECIES
Pu 244.00 Pu.upf
Mg 24.30 Mg.upf
Se 78.96 Se.upf
CELL_PARAMETERS angstrom
0.000 5.851 5.851
5.851 0.000 5.851
5.851 5.851 0.000
ATOMIC_POSITIONS angstrom
Pu 2.925 2.925 0.000
Pu 2.925 0.000 2.925
Pu 5.851 2.925 2.925
Pu 0.000 2.925 2.925
Pu 2.925 5.851 2.925
Pu 2.925 2.925 5.851
Mg 0.000 0.000 0.000
Se 5.851 5.851 2.830
Se 5.851 2.830 5.851
Se 8.872 5.851 5.851
Se 2.925 2.925 2.925
Se 8.776 8.776 8.776
Se 2.830 5.851 5.851
Se 5.851 8.872 5.851
Se 5.851 5.851 8.872



> The highest mass density belongs to which entry?

Pu6MgSe8



> spin magnetization of number 2 (Pu6MgSe8)?

33.9 μB/f.u.



> What is the formula in the first record?

TmPuMgSc